VASP calculation (PBE-GGA) on a relaxed AgSnBi2Rh crystal.

Calculated values
**Calculated formation energy**: 1.172 eV per atom
**Energy**: -3.222 eV per atom

```
data_AgSnBi2Rh
_space_group_name_H-M_alt 'P 4/m m m'
_space_group_IT_number 123
_space_group_name_Hall '-P 4 2'
_cell_length_a 5.7407
_cell_length_b 5.7407
_cell_length_c 5.0029
_cell_angle_alpha 90.00
_cell_angle_beta 90.00
_cell_angle_gamma 90.00
loop_
_atom_site_label
_atom_site_type_symbol
_atom_site_fract_x
_atom_site_fract_y
_atom_site_fract_z
_atom_site_occupancy
Ag1 Ag 0.0000 0.0000 0.0000 1
Sn1 Sn 0.0000 0.0000 0.5000 1
Bi1 Bi 0.0000 0.5000 0.5000 1
Rh1 Rh 0.5000 0.5000 0.0000 1
```